# 1
## PrY2Fe (PBE)

Data for a relaxed PrY2Fe crystal.

Cell lengths 3.5257, 3.5257, 32.3283 Å; angles 90.00, 90.00, 120.00 degrees
Space group R-3m (No. 166, hexagonal axes)
Symmetry-distinct sites (fractional):
Pr 0.0000 0.0000 0.0000 (multiplicity 3)
Y 0.0000 0.0000 0.1095 (multiplicity 6)
Fe 0.0000 0.0000 0.5000 (multiplicity 3)

Computed properties:
ΔH_f (0 K): 31.4 kJ/mol of atoms
Distance to the lowest polymorph of the same formula: 230.0 meV per atom
Energy: -6.217 eV per atom



# 2
## SmCoAg (PBE)

Data for a relaxed SmCoAg crystal.

Cell lengths 3.6464, 3.6464, 34.7279 Å; angles 90.00, 90.00, 120.00 degrees
Space group R-3m (No. 166, hexagonal axes)
Symmetry-distinct sites (fractional):
Sm 0.0000 0.0000 0.0953 (multiplicity 6)
Co 0.0000 0.0000 0.1772 (multiplicity 6)
Ag 0.0000 0.0000 0.3057 (multiplicity 6)

Computed properties:
ΔH_f (0 K): 16.9 kJ/mol of atoms
Energy: -4.717 eV per atom



Among the records above, which one has the highest ΔH_f (0 K)?
PrY2Fe



The lowest energy belongs to which entry?
PrY2Fe



Look up the energy of the second one.
-4.717 eV per atom